1.
The following is a PBE calculation of HoMgNi2H8 after structural relaxation, from Alexandria via LeMat-Bulk.

## Properties
**Space group**: R-3, No. 148
**E_tot**: -0.282 Ry per atom

a b c (Å): 6.0513 6.0513 6.0513
angles (deg): 44.64 44.64 44.64
Fractional positions:
Ho (0.0000, 0.0000, 0.0000)
Mg (0.5000, 0.5000, 0.5000)
Ni (0.2296, 0.2296, 0.2296)
Ni (0.7704, 0.7704, 0.7704)
H (0.0906, 0.8092, 0.4109)
H (0.1908, 0.5891, 0.9094)
H (0.3223, 0.3223, 0.3223)
H (0.4109, 0.0906, 0.8092)
H (0.5891, 0.9094, 0.1908)
H (0.6777, 0.6777, 0.6777)
H (0.8092, 0.4109, 0.0906)
H (0.9094, 0.1908, 0.5891)

=====

2.
The following is a PBE calculation of AcSmSi after structural relaxation, from Alexandria via LeMat-Bulk.

## Properties
**Space group**: P3m1, No. 156
**Uncorrected formation energy**: -265.2 meV/atom

a b c (Å): 4.8425 4.8425 4.6918
angles (deg): 90.00 90.00 120.00
Fractional positions:
Ac (0.0000, 0.0000, 0.0000)
Sm (0.6667, 0.3333, 0.4785)
Si (0.3333, 0.6667, 0.6075)

=====

3.
The following is a PBE calculation of Ca2TiAsP after structural relaxation, from Alexandria via LeMat-Bulk.

## Properties
**ΔE_f**: 39 kJ/mol of atoms
**Space group**: P4/mmm, No. 123

a b c (Å): 5.6847 5.6847 4.6692
angles (deg): 90.00 90.00 90.00
Fractional positions:
Ca (0.0000, 0.5000, 0.0000)
Ca (0.5000, 0.0000, 0.0000)
Ti (0.0000, 0.0000, 0.0000)
As (0.0000, 0.0000, 0.5000)
P (0.5000, 0.5000, 0.5000)

=====

4.
The following is a PBE calculation of BaUCu2Se4 after structural relaxation, from Alexandria via LeMat-Bulk.

## Properties
**Space group**: I222, No. 23
**Uncorrected formation energy**: -844.5 meV/atom

a b c (Å): 6.6599 6.6599 6.6599
angles (deg): 119.44 109.24 100.31
Fractional positions:
Ba (0.0000, 0.0000, 0.0000)
U (0.5000, 0.5000, 0.0000)
Cu (0.3516, 0.8516, 0.5000)
Cu (0.6484, 0.1484, 0.5000)
Se (0.1112, 0.0647, 0.5626)
Se (0.4980, 0.9353, 0.0465)
Se (0.5020, 0.5486, 0.4374)
Se (0.8888, 0.4514, 0.9535)

=====

5.
The following is a PBE calculation of Cr2ReRh after structural relaxation, from Alexandria via LeMat-Bulk.

## Properties
**ΔE_f**: 8 kJ/mol of atoms
**Space group**: I-4m2, No. 119

a b c (Å): 4.6564 4.6564 4.6564
angles (deg): 132.89 132.89 68.82
Fractional positions:
Cr (0.0000, 0.0000, 0.0000)
Cr (0.7500, 0.2500, 0.5000)
Re (0.2500, 0.7500, 0.5000)
Rh (0.5000, 0.5000, 0.0000)